First-principles (PBE) data for YWBr2 after structural relaxation, as listed in Alexandria via LeMat-Bulk.

Geometry as extended XYZ:
```
8
Lattice="-2.328 2.328 8.924 2.328 -2.328 8.924 2.328 2.328 -8.924" Properties=species:S:1:pos:R:3 pbc="T T T"
Y 0.000 0.000 0.000
Y 0.000 2.328 4.462
W 2.328 0.000 4.462
W 0.000 0.000 8.924
Br 1.164 -1.041 6.693
Br 1.287 1.164 2.231
Br 1.164 3.368 -2.231
Br 1.041 1.164 11.155
```

Calculated values
- formation energy without anion corrections (eV/atom) = 0.3096
- mass density (kg/m3) = 7428

---

First-principles (PBE) data for YW2Br after structural relaxation, as listed in Alexandria via LeMat-Bulk.

Geometry as extended XYZ:
```
4
Lattice="3.055 0.000 0.000 0.000 5.010 0.000 0.000 0.000 5.484" Properties=species:S:1:pos:R:3 pbc="T T T"
Y 0.000 0.000 0.000
W 1.527 2.505 1.214
W 1.527 2.505 4.270
Br 0.000 0.000 2.742
```

Calculated values
- formation energy without anion corrections (eV/atom) = 0.8947
- mass density (kg/m3) = 10614